# CdCu3Si (PBE-GGA, relaxed)
data_CdCu3Si
_symmetry_space_group_name_H-M 'P m -3 m'
_symmetry_Int_Tables_number 221
_symmetry_space_group_name_Hall '-P 4 2 3'
_cell_length_a 4.743
_cell_length_b 4.743
_cell_length_c 4.743
_cell_angle_alpha 90.00
_cell_angle_beta 90.00
_cell_angle_gamma 90.00
loop_
_atom_site_label
_atom_site_fract_x
_atom_site_fract_y
_atom_site_fract_z
Cd1 0.000 0.000 0.000
Cu1 0.000 0.000 0.500
Si1 0.500 0.500 0.500
# calculated total energy: -2.5460 eV per atom
# size of the total moment: 0.00 μB per cell
# distance to the lowest polymorph of the same formula: 847.9 meV per atom

# CdCuSi2Te6 (PBE-GGA, relaxed)
data_CdCuSi2Te6
_symmetry_space_group_name_H-M 'C 1 2/c 1'
_symmetry_Int_Tables_number 15
_symmetry_space_group_name_Hall '-C 2yc'
_cell_length_a 14.301
_cell_length_b 14.459
_cell_length_c 6.887
_cell_angle_alpha 90.00
_cell_angle_beta 114.04
_cell_angle_gamma 90.00
loop_
_atom_site_label
_atom_site_fract_x
_atom_site_fract_y
_atom_site_fract_z
Cd1 0.000 0.197 0.250
Cu1 0.000 0.210 0.750
Si1 0.206 0.420 0.245
Te1 0.099 0.077 0.629
Te2 0.131 0.436 0.523
Te3 0.149 0.256 0.103
# calculated total energy: -3.4970 eV per atom
# size of the total moment: 0.00 μB per cell